# ZrGeP

ZrGeP after structural relaxation (PBE, Alexandria via LeMat-Bulk).

a = 3.632 Å, b = 4.998 Å, c = 6.975 Å
α = 88.75°, β = 90.00°, γ = 111.31°
Element x y z (fractional)
P  0.349  0.699  0.147
P  0.620  0.239  0.820
Ge  0.074  0.148  0.509
Ge  0.784  0.567  0.529
Zr  0.911  0.823  0.880
Zr  0.638  0.277  0.186

***

# Hf2AlHg2

Hf2AlHg2 after structural relaxation (PBE, Alexandria via LeMat-Bulk).

Values from the calculation:
Excess energy over the best structure of this formula in the dataset   0 meV/atom

a = 6.978 Å, b = 6.978 Å, c = 4.302 Å
α = 90.00°, β = 90.00°, γ = 90.00°
Element x y z (fractional)
Hf  0.166  0.666  0.500
Hf  0.666  0.834  0.500
Hf  0.834  0.334  0.500
Hf  0.334  0.166  0.500
Hg  0.358  0.858  0.000
Hg  0.858  0.642  0.000
Hg  0.642  0.142  0.000
Hg  0.142  0.358  0.000
Al  0.000  0.000  0.000
Al  0.500  0.500  0.000

***

# La2Ni

La2Ni after structural relaxation (PBE, Alexandria via LeMat-Bulk).

a = 4.623 Å, b = 4.622 Å, c = 4.330 Å
α = 90.01°, β = 90.00°, γ = 120.01°
Element x y z (fractional)
La  0.667  0.333  0.279
La  0.333  0.667  0.721
Ni  0.000  0.000  0.000

***

# LiFeIr2

LiFeIr2 after structural relaxation (PBE, Alexandria via LeMat-Bulk).

a = 2.663 Å, b = 2.663 Å, c = 8.749 Å
α = 90.00°, β = 90.00°, γ = 116.50°
Last column: magnetic moment on the atom in μB.
Element x y z (fractional)
Fe  0.500  0.500  0.750  2.97
Ir  0.000  0.000  0.995  0.47
Ir  0.000  0.000  0.505  0.47
Li  0.500  0.500  0.250  0.00

***

# Mg2CoB

Mg2CoB after structural relaxation (PBE, Alexandria via LeMat-Bulk).

a = 8.808 Å, b = 8.808 Å, c = 6.499 Å
α = 47.34°, β = 47.34°, γ = 90.00°
Element x y z (fractional)
Mg  0.433  0.125  0.250
Mg  0.317  0.625  0.250
Mg  0.375  0.567  0.750
Mg  0.875  0.683  0.750
B  0.500  0.500  0.000
B  0.250  0.750  0.500
Co  0.000  0.000  0.000
Co  0.750  0.250  0.500

***

# Pm2Dy2Ho2Tm

Pm2Dy2Ho2Tm after structural relaxation (PBE, Alexandria via LeMat-Bulk).

a = 5.664 Å, b = 5.664 Å, c = 8.780 Å
α = 71.18°, β = 71.18°, γ = 60.00°
Element x y z (fractional)
Pm  0.139  0.139  0.584
Pm  0.861  0.861  0.416
Dy  0.714  0.714  0.857
Dy  0.286  0.286  0.143
Ho  0.573  0.573  0.280
Ho  0.427  0.427  0.720
Tm  0.000  0.000  0.000

***

| no. | E_form (meV per atom) | VASP energy (eV/atom) |
| --- | --- | --- |
| 1 | -543 | -6.73 |
| 2 | 36 | -4.81 |
| 3 | -84 | -5.30 |
| 4 | -30 | -7.06 |
| 5 | 294 | -3.95 |
| 6 | 142 | -4.48 |